No. 1
{
  "formula": "LaPtCl2",
  "functional": "PBE",
  "state": "relaxed",
  "dft_energy_ha_per_atom": -0.17987,
  "magmom_total_mub_per_atom": 0.193,
  "mass_density_g_cm3": 5.7,
  "spacegroup": "R3m, No. 160",
  "raw_formation_energy_ev_per_atom": -1.2290,
  "de_polymorph_kcal_per_mol_atoms": 0.83,
  "lattice_angstrom": [[-4.124, 2.213, -5.818], [-6.513, -0.754, -3.574], [-6.276, 3.426, -2.151]],
  "species": ["Cl", "Cl", "Pt", "La"],
  "fractional_positions": [[0.046, 0.046, 0.046], [0.224, 0.224, 0.224], [0.748, 0.748, 0.748], [0.481, 0.481, 0.481]]
}

No. 2
{
  "formula": "LaPt2Cl",
  "functional": "PBE",
  "state": "relaxed",
  "dft_energy_ha_per_atom": -0.20743,
  "magmom_total_mub_per_atom": 0.000,
  "mass_density_g_cm3": 11.4,
  "spacegroup": "Immm, No. 71",
  "raw_formation_energy_ev_per_atom": -0.9306,
  "de_polymorph_kcal_per_mol_atoms": 3.71,
  "lattice_angstrom": [[5.926, -0.002, 0.014], [4.769, 3.519, 0.014], [1.529, 0.503, 3.958]],
  "species": ["Cl", "Pt", "Pt", "La"],
  "fractional_positions": [[0.750, 0.750, 0.750], [0.996, 0.996, 0.004], [0.504, 0.504, 0.496], [0.250, 0.250, 0.250]]
}

No. 3
{
  "formula": "La2PtCl",
  "functional": "PBE",
  "state": "relaxed",
  "dft_energy_ha_per_atom": -0.21414,
  "magmom_total_mub_per_atom": 0.000,
  "mass_density_g_cm3": 7.8,
  "spacegroup": "P4/mmm, No. 123",
  "raw_formation_energy_ev_per_atom": -1.3915,
  "de_polymorph_kcal_per_mol_atoms": 1.22,
  "lattice_angstrom": [[6.121, 0.000, 0.000], [0.000, 4.212, 0.003], [0.000, -0.003, 4.207]],
  "species": ["Cl", "Pt", "La", "La"],
  "fractional_positions": [[0.500, 0.875, 0.875], [0.000, 0.375, 0.375], [0.000, 0.875, 0.875], [0.500, 0.375, 0.375]]
}

No. 4
{
  "formula": "La3Pt2Cl",
  "functional": "PBE",
  "state": "relaxed",
  "dft_energy_ha_per_atom": -0.21678,
  "magmom_total_mub_per_atom": 0.000,
  "mass_density_g_cm3": 8.0,
  "spacegroup": "C2/c, No. 15",
  "raw_formation_energy_ev_per_atom": -1.1138,
  "lattice_angstrom": [[6.128, 0.000, 1.067], [-3.064, 7.713, -0.534], [2.682, 0.000, 7.828]],
  "species": ["La", "La", "La", "La", "La", "La", "Pt", "Pt", "Pt", "Pt", "Cl", "Cl"],
  "fractional_positions": [[0.435, 0.222, 0.112], [0.123, 0.247, 0.750], [0.787, 0.222, 0.388], [0.877, 0.753, 0.250], [0.565, 0.778, 0.888], [0.213, 0.778, 0.612], [0.000, 0.000, 0.000], [0.000, 0.000, 0.500], [0.473, 0.947, 0.250], [0.527, 0.053, 0.750], [0.267, 0.533, 0.250], [0.733, 0.467, 0.750]]
}